Record 1
First-principles (PBE-GGA) data for crystalline MgMn2As at its relaxed geometry, as listed in the Alexandria database.

Output
The energy of formation from the pure elements is 71 meV/atom.

abc: 2.8596 2.8596 7.2653
angles: 90.00 90.00 90.00
Closest atoms and distances in Å follow each position.
Sites, in units of the cell vectors:
Mn (0.0000, 0.0000, 0.0435)  4 Mn 2.44
Mn (0.5000, 0.5000, 0.2308)  4 Mn 2.44, 4 As 2.52
As (0.0000, 0.0000, 0.4376)  4 Mn 2.52
Mg (0.5000, 0.5000, 0.7881)  4 Mn 2.74, 4 Mg 2.86

---

Record 2
First-principles (PBE-GGA) data for crystalline Sm4Dy2TmTh at its relaxed geometry, as listed in the Alexandria database.

Output
The energy of formation from the pure elements is 33 meV/atom.

abc: 5.0695 5.0542 11.3478
angles: 63.56 90.00 90.00
Closest atoms and distances in Å follow each position.
Sites, in units of the cell vectors:
Sm (0.0000, 0.7505, 0.7491)  2 Th 3.58, 4 Sm 3.58, 4 Dy 3.58-3.59, 2 Tm 3.59
Sm (0.5000, 0.7481, 0.2514)  4 Dy 3.57-3.60, 4 Sm 3.58, 2 Th 3.58, 2 Tm 3.59-3.60
Sm (0.5000, 0.2519, 0.7486)  4 Dy 3.57-3.60, 4 Sm 3.58, 2 Th 3.58, 2 Tm 3.59-3.60
Sm (0.0000, 0.2495, 0.2509)  2 Th 3.58, 4 Sm 3.58, 4 Dy 3.58-3.59, 2 Tm 3.59
Dy (0.0000, 0.0000, 0.0000)  4 Tm 3.58, 8 Sm 3.59-3.60
Dy (0.5000, 0.0000, 0.5000)  8 Sm 3.57-3.58, 4 Th 3.58
Tm (0.5000, 0.5000, 0.0000)  4 Dy 3.58, 8 Sm 3.59-3.60
Th (0.0000, 0.5000, 0.5000)  8 Sm 3.58, 4 Dy 3.58